Record 1
The following is a DFT calculation (GGA-PBE) of a geometry-optimized Ce6GaTc2 structure.

abc: 7.3695 6.8945 10.4463
angles: 90.00 126.04 90.00
Closest atoms and distances in Å follow each position.
Sites, in units of the cell vectors:
Ce (0.0114, 0.1429, 0.2874)  1 Tc 2.42
Ce (0.0114, 0.3571, 0.7874)  1 Tc 2.42
Ce (0.3908, 0.6624, 0.0987)  1 Tc 2.73, 1 Ce 2.84
Ce (0.3908, 0.8376, 0.5987)  1 Tc 2.73, 1 Ce 2.84
Ce (0.4160, 0.1575, 0.0389)  4 Ce 2.84-3.17, 1 Ga 3.05
Ce (0.4160, 0.3425, 0.5389)  4 Ce 2.84-3.17, 1 Ga 3.05
Ce (0.5840, 0.6575, 0.4611)  4 Ce 2.84-3.17, 1 Ga 3.05
Ce (0.5840, 0.8425, 0.9611)  4 Ce 2.84-3.17, 1 Ga 3.05
Ce (0.6092, 0.1624, 0.4013)  1 Tc 2.73, 1 Ce 2.84
Ce (0.6092, 0.3376, 0.9013)  1 Tc 2.73, 1 Ce 2.84
Ce (0.9886, 0.6429, 0.2126)  1 Tc 2.42
Ce (0.9886, 0.8571, 0.7126)  1 Tc 2.42
Ga (0.0000, 0.0000, 0.0000)  8 Ce 3.05-3.36, 2 Tc 3.08
Ga (0.0000, 0.5000, 0.5000)  8 Ce 3.05-3.36, 2 Tc 3.08
Tc (0.1720, 0.1003, 0.6589)  1 Ce 2.42
Tc (0.1720, 0.3997, 0.1589)  1 Ce 2.42
Tc (0.8280, 0.6003, 0.8411)  1 Ce 2.42
Tc (0.8280, 0.8997, 0.3411)  1 Ce 2.42

Calculated values
Crystal system: monoclinic
Energy above the lowest structure with this stoichiometry (eV/atom): 0.080
Energy of formation (eV per atom): -0.13

=====

Record 2
The following is a DFT calculation (GGA-PBE) of a geometry-optimized Sm2DySc structure.

abc: 6.9855 6.9855 6.1016
angles: 106.80 106.80 60.56
Closest atoms and distances in Å follow each position.
Sites, in units of the cell vectors:
Sm (0.1227, 0.3723, 0.2438)  3 Sc 3.46-3.51, 3 Dy 3.47-3.54, 6 Sm 3.48-3.57
Sm (0.3723, 0.1227, 0.7438)  3 Sc 3.46-3.51, 3 Dy 3.47-3.54, 6 Sm 3.48-3.57
Sm (0.6277, 0.8773, 0.2562)  3 Sc 3.46-3.51, 3 Dy 3.47-3.54, 6 Sm 3.48-3.57
Sm (0.8773, 0.6277, 0.7562)  3 Sc 3.46-3.51, 3 Dy 3.47-3.54, 6 Sm 3.48-3.57
Dy (0.3732, 0.6268, 0.7500)  6 Sm 3.47-3.54, 4 Sc 3.50-3.55, 2 Dy 3.54
Dy (0.6268, 0.3732, 0.2500)  6 Sm 3.47-3.54, 4 Sc 3.50-3.55, 2 Dy 3.54
Sc (0.1234, 0.8766, 0.2500)  6 Sm 3.46-3.51, 4 Dy 3.50-3.55, 2 Sc 3.51
Sc (0.8766, 0.1234, 0.7500)  6 Sm 3.46-3.51, 4 Dy 3.50-3.55, 2 Sc 3.51

Calculated values
Crystal system: monoclinic
Energy above the lowest structure with this stoichiometry (eV/atom): 0.009
Energy of formation (eV per atom): 0.04

=====

Record 3
The following is a DFT calculation (GGA-PBE) of a geometry-optimized Y4CrPt structure.

abc: 6.0616 6.0616 6.0616
angles: 60.00 60.00 60.00
Closest atoms and distances in Å follow each position.
Sites, in units of the cell vectors:
Y (0.3755, 0.3755, 0.3755)  6 Y 3.02-3.04
Y (0.3755, 0.3755, 0.8735)  6 Y 3.02-3.04
Y (0.3755, 0.8735, 0.3755)  6 Y 3.02-3.04
Y (0.8735, 0.3755, 0.3755)  6 Y 3.02-3.04
Cr (0.0000, 0.0000, 0.0000)  12 Y 3.56, 4 Pt 3.71
Pt (0.7500, 0.7500, 0.7500)  12 Y 3.55, 4 Cr 3.71

Calculated values
Crystal system: cubic
Energy of formation (eV per atom): 0.63

=====

Record 4
The following is a DFT calculation (GGA-PBE) of a geometry-optimized PuZrPa4 structure.

abc: 7.2489 7.2489 4.6052
angles: 90.00 90.00 142.60
Closest atoms and distances in Å follow each position.
Sites, in units of the cell vectors:
Pu (0.0000, 0.0000, 0.0000)  8 Pa 3.23-3.24, 4 Zr 3.27
Zr (0.5000, 0.5000, 0.5000)  8 Pa 3.22-3.26, 4 Pu 3.27
Pa (0.1660, 0.8340, 0.5000)  2 Pu 3.24, 2 Zr 3.26, 8 Pa 3.27-3.28
Pa (0.3362, 0.6638, 0.0000)  2 Zr 3.22, 2 Pu 3.23, 8 Pa 3.27-3.32
Pa (0.6638, 0.3362, 0.0000)  2 Zr 3.22, 2 Pu 3.23, 8 Pa 3.27-3.32
Pa (0.8340, 0.1660, 0.5000)  2 Pu 3.24, 2 Zr 3.26, 8 Pa 3.27-3.28

Calculated values
Crystal system: orthorhombic
Energy above the lowest structure with this stoichiometry (eV/atom): 0.000
Energy of formation (eV per atom): 0.06